1.
NdYTe PBE optimized geometry; offset from the most stable computed form = 0.0000 eV per atom; raw formation energy = -0.91 eV/atom; electronic total energy = -5.700 eV/atom
1.0
4.490 0.000 0.000
0.000 4.490 0.000
0.000 0.000 8.773
Nd Y Te
2 2 2
Direct
0.250 0.250 0.140
0.750 0.750 0.860
0.250 0.750 0.500
0.750 0.250 0.500
0.250 0.250 0.766
0.750 0.750 0.234

***

2.
Nd2YTe4 PBE optimized geometry; offset from the most stable computed form = 0.0693 eV per atom; raw formation energy = -1.38 eV/atom; electronic total energy = -5.458 eV/atom
1.0
2.149 -7.392 0.000
2.149 7.392 0.000
0.000 0.000 15.284
Nd Y Te
4 2 8
Direct
0.132 0.868 0.571
0.132 0.868 0.929
0.868 0.132 0.071
0.868 0.132 0.429
0.372 0.628 0.750
0.628 0.372 0.250
0.024 0.976 0.750
0.218 0.782 0.125
0.218 0.782 0.375
0.500 0.500 0.000
0.500 0.500 0.500
0.782 0.218 0.625
0.782 0.218 0.875
0.976 0.024 0.250

***

3.
NdYTe PBE optimized geometry; offset from the most stable computed form = 0.1262 eV per atom; raw formation energy = -0.78 eV/atom; electronic total energy = -5.574 eV/atom
1.0
8.439 -2.031 0.000
8.439 2.031 0.000
-0.597 0.000 11.232
Nd Y Te
4 4 4
Direct
0.026 0.026 0.352
0.386 0.386 0.159
0.614 0.614 0.841
0.974 0.974 0.648
0.192 0.192 0.082
0.250 0.250 0.659
0.750 0.750 0.341
0.808 0.808 0.918
0.382 0.382 0.456
0.425 0.425 0.843
0.575 0.575 0.157
0.618 0.618 0.544

***

4.
Nd4YTe4 PBE optimized geometry; raw formation energy = -0.86 eV/atom; electronic total energy = -5.090 eV/atom
1.0
-3.971 3.971 5.241
3.971 -3.971 5.241
3.971 3.971 -5.241
Nd Y Te
4 1 4
Direct
0.000 0.500 0.500
0.171 0.171 0.000
0.500 0.000 0.500
0.829 0.829 0.000
0.500 0.500 0.000
0.133 0.588 0.000
0.412 0.412 0.545
0.588 0.133 0.000
0.867 0.867 0.455

***

5.
Nd2YTe PBE optimized geometry; offset from the most stable computed form = 0.0000 eV per atom; raw formation energy = -0.58 eV/atom; electronic total energy = -5.362 eV/atom
1.0
4.008 0.000 0.000
0.000 4.008 0.000
0.000 0.000 7.913
Nd Y Te
2 1 1
Direct
0.000 0.000 0.225
0.000 0.000 0.775
0.500 0.500 0.500
0.500 0.500 0.000

***

6.
Nd5ZnTe5 PBE optimized geometry; raw formation energy = -1.22 eV/atom; electronic total energy = -4.927 eV/atom
1.0
7.057 -3.164 0.000
7.057 3.164 0.000
-2.825 0.000 8.399
Nd Zn Te
5 1 5
Direct
0.000 0.000 0.000
0.336 0.336 0.165
0.337 0.337 0.669
0.663 0.663 0.331
0.664 0.664 0.835
0.500 0.500 0.000
0.163 0.163 0.826
0.169 0.169 0.336
0.500 0.500 0.500
0.831 0.831 0.664
0.837 0.837 0.174

***

7.
Nd3ZnTe2 PBE optimized geometry; offset from the most stable computed form = 0.1585 eV per atom; raw formation energy = -0.87 eV/atom; electronic total energy = -4.513 eV/atom
1.0
3.117 -7.537 0.000
3.117 7.537 0.000
0.000 0.000 4.403
Nd Zn Te
3 1 2
Direct
0.000 0.000 0.000
0.362 0.638 0.500
0.638 0.362 0.500
0.500 0.500 0.000
0.153 0.847 0.500
0.847 0.153 0.500

***

8.
Nd3ZnTe6 PBE optimized geometry; raw formation energy = -1.11 eV/atom; electronic total energy = -4.548 eV/atom
1.0
6.232 -7.670 0.000
6.232 7.670 0.000
0.000 0.000 7.264
Nd Zn Te
6 2 12
Direct
0.111 0.889 0.500
0.226 0.427 0.599
0.427 0.226 0.099
0.573 0.774 0.599
0.774 0.573 0.099
0.889 0.111 0.000
0.296 0.704 0.145
0.704 0.296 0.645
0.061 0.588 0.316
0.135 0.187 0.301
0.187 0.135 0.801
0.274 0.726 0.784
0.412 0.939 0.316
0.460 0.540 0.282
0.540 0.460 0.782
0.588 0.061 0.816
0.726 0.274 0.284
0.813 0.865 0.301
0.865 0.813 0.801
0.939 0.412 0.816

***

9.
Nd5Zn2Te PBE optimized geometry; raw formation energy = -0.47 eV/atom; electronic total energy = -4.159 eV/atom
1.0
-3.979 3.979 7.269
3.979 -3.979 7.269
3.979 3.979 -7.269
Nd Zn Te
10 4 2
Direct
0.000 0.000 0.000
0.008 0.508 0.814
0.194 0.008 0.500
0.306 0.806 0.814
0.492 0.306 0.500
0.500 0.500 0.000
0.508 0.694 0.500
0.694 0.194 0.186
0.806 0.992 0.500
0.992 0.492 0.186
0.127 0.373 0.500
0.373 0.873 0.247
0.627 0.127 0.753
0.873 0.627 0.500
0.250 0.250 0.000
0.750 0.750 0.000

***

10.
NdZnTe2 PBE optimized geometry; raw formation energy = -0.69 eV/atom; electronic total energy = -3.773 eV/atom
1.0
2.270 1.310 8.833
-2.270 1.310 8.833
0.000 -2.621 8.833
Nd Zn Te
1 1 2
Direct
0.000 0.000 0.000
0.500 0.500 0.500
0.401 0.401 0.401
0.599 0.599 0.599

***

11.
Nd5ZnTe4 PBE optimized geometry; raw formation energy = -1.22 eV/atom; electronic total energy = -4.984 eV/atom
1.0
-4.990 4.990 3.160
4.990 -4.990 3.160
4.990 4.990 -3.160
Nd Zn Te
5 1 4
Direct
0.000 0.000 0.000
0.212 0.598 0.810
0.402 0.212 0.614
0.598 0.788 0.386
0.788 0.402 0.190
0.500 0.500 0.000
0.094 0.303 0.398
0.303 0.906 0.209
0.697 0.094 0.791
0.906 0.697 0.602

***

12.
Nd3ZnTe2 PBE optimized geometry; offset from the most stable computed form = 0.0000 eV per atom; raw formation energy = -1.03 eV/atom; electronic total energy = -4.672 eV/atom
1.0
3.804 -6.612 0.000
3.804 6.612 0.000
-2.561 0.000 7.377
Nd Zn Te
6 2 4
Direct
0.080 0.419 0.758
0.240 0.240 0.239
0.419 0.080 0.758
0.581 0.920 0.242
0.760 0.760 0.761
0.920 0.581 0.242
0.168 0.832 0.000
0.832 0.168 0.000
0.000 0.000 0.500
0.338 0.662 0.500
0.500 0.500 0.000
0.662 0.338 0.500

***

13.
Nd3ZrTe6 PBE optimized geometry; raw formation energy = -1.19 eV/atom; electronic total energy = -5.363 eV/atom
1.0
6.416 3.704 5.231
-6.416 3.704 5.231
0.000 -7.408 5.231
Nd Zr Te
6 2 12
Direct
0.085 0.578 0.238
0.238 0.085 0.578
0.422 0.762 0.915
0.578 0.238 0.085
0.762 0.915 0.422
0.915 0.422 0.762
0.000 0.000 0.000
0.500 0.500 0.500
0.078 0.697 0.904
0.096 0.922 0.303
0.190 0.425 0.545
0.303 0.096 0.922
0.425 0.545 0.190
0.455 0.810 0.575
0.545 0.190 0.425
0.575 0.455 0.810
0.697 0.904 0.078
0.810 0.575 0.455
0.904 0.078 0.697
0.922 0.303 0.096

***

14.
NdZrTe3 PBE optimized geometry; raw formation energy = -1.17 eV/atom; electronic total energy = -5.714 eV/atom
1.0
7.935 -2.069 0.000
7.935 2.069 0.000
-0.064 0.000 9.390
Nd Zr Te
2 2 6
Direct
0.104 0.104 0.094
0.896 0.896 0.906
0.300 0.300 0.370
0.700 0.700 0.630
0.123 0.123 0.451
0.247 0.247 0.842
0.451 0.451 0.171
0.549 0.549 0.829
0.753 0.753 0.158
0.877 0.877 0.549

***

15.
Nd2ZrTe4 PBE optimized geometry; raw formation energy = -1.21 eV/atom; electronic total energy = -5.587 eV/atom
1.0
7.950 -2.180 0.000
7.950 2.180 0.000
-3.698 0.000 6.788
Nd Zr Te
2 1 4
Direct
0.247 0.247 0.259
0.753 0.753 0.741
0.500 0.500 0.500
0.115 0.115 0.779
0.390 0.390 0.714
0.610 0.610 0.286
0.885 0.885 0.221

***

16.
Nd2ZrTe5 PBE optimized geometry; raw formation energy = -1.09 eV/atom; electronic total energy = -5.311 eV/atom
1.0
3.044 -7.444 0.000
3.044 7.444 0.000
0.000 0.000 14.485
Nd Zr Te
4 2 10
Direct
0.154 0.846 0.561
0.154 0.846 0.939
0.846 0.154 0.061
0.846 0.154 0.439
0.190 0.810 0.250
0.810 0.190 0.750
0.047 0.953 0.123
0.047 0.953 0.377
0.274 0.726 0.750
0.316 0.684 0.088
0.316 0.684 0.412
0.684 0.316 0.588
0.684 0.316 0.912
0.726 0.274 0.250
0.953 0.047 0.623
0.953 0.047 0.877

***

17.
NdZr3Te6 PBE optimized geometry; raw formation energy = -0.95 eV/atom; electronic total energy = -5.879 eV/atom
1.0
11.985 0.000 0.000
0.000 4.075 0.000
-4.078 0.000 11.858
Nd Zr Te
2 6 12
Direct
0.052 0.250 0.202
0.948 0.750 0.798
0.120 0.250 0.571
0.321 0.750 0.987
0.445 0.250 0.368
0.555 0.750 0.632
0.679 0.250 0.013
0.880 0.750 0.429
0.112 0.750 0.406
0.128 0.250 0.972
0.194 0.750 0.746
0.280 0.750 0.220
0.375 0.250 0.572
0.486 0.250 0.124
0.514 0.750 0.876
0.625 0.750 0.428
0.720 0.250 0.780
0.806 0.250 0.254
0.872 0.750 0.028
0.888 0.250 0.594

***

18.
Nd7Th PBE optimized geometry; electronic total energy = -5.065 eV/atom; ΔH_f (0 K) = 0.0347 eV/atom
1.0
0.000 5.187 5.187
5.187 0.000 5.187
5.187 5.187 0.000
Nd Th
7 1
Direct
0.000 0.000 0.000
0.000 0.000 0.500
0.000 0.500 0.000
0.000 0.500 0.500
0.500 0.000 0.000
0.500 0.000 0.500
0.500 0.500 0.000
0.500 0.500 0.500

***

19.
Nd5Th PBE optimized geometry; offset from the most stable computed form = 0.0000 eV per atom; electronic total energy = -5.186 eV/atom; ΔH_f (0 K) = 0.0243 eV/atom
1.0
3.658 0.000 0.000
-1.829 3.168 0.000
0.000 0.000 18.010
Nd Th
5 1
Direct
0.000 0.000 0.000
0.333 0.667 0.167
0.333 0.667 0.660
0.667 0.333 0.340
0.667 0.333 0.833
0.000 0.000 0.500

***

20.
Nd2Th3 PBE optimized geometry; offset from the most stable computed form = 0.3324 eV per atom; electronic total energy = -6.005 eV/atom; ΔH_f (0 K) = 0.3538 eV/atom
1.0
4.953 2.860 3.928
-4.953 2.860 3.928
0.000 -5.720 3.928
Nd Th
4 6
Direct
0.128 0.128 0.128
0.372 0.372 0.372
0.628 0.628 0.628
0.872 0.872 0.872
0.093 0.750 0.407
0.250 0.593 0.907
0.407 0.093 0.750
0.593 0.907 0.250
0.750 0.407 0.093
0.907 0.250 0.593

***

21.
Nd3Th2 PBE optimized geometry; electronic total energy = -5.804 eV/atom; ΔH_f (0 K) = 0.0250 eV/atom
1.0
1.815 1.048 14.876
-1.815 1.048 14.876
0.000 -2.096 14.876
Nd Th
3 2
Direct
0.000 0.000 0.000
0.402 0.402 0.402
0.598 0.598 0.598
0.198 0.198 0.198
0.802 0.802 0.802

***

22.
Nd5Th3 PBE optimized geometry; electronic total energy = -5.649 eV/atom; ΔH_f (0 K) = 0.1131 eV/atom
1.0
1.825 -3.035 0.000
1.825 3.035 0.000
0.000 0.000 24.534
Nd Th
5 3
Direct
0.000 0.000 0.000
0.000 0.000 0.254
0.000 0.000 0.746
0.500 0.500 0.127
0.500 0.500 0.873
0.000 0.000 0.500
0.500 0.500 0.379
0.500 0.500 0.621